A plane-wave DFT calculation with PBE was carried out for a geometry-optimized NdTeAsO structure.

POSCAR file:
```
NdTeAsO
1.0
-5.6014 -0.5903 -1.9844
1.3254 -5.4202 -2.1278
-1.3852 -2.1214 4.5411
Nd O Te As
2 2 2 2
direct
0.2500 0.7500 0.5000
0.7500 0.2500 0.5000
0.7500 0.2500 0.0000
0.2500 0.7500 0.0000
0.2500 0.2500 0.9948
0.7500 0.7500 0.0052
0.7500 0.7500 0.5050
0.2500 0.2500 0.4950
```

## Properties
offset from the most stable computed form	514	meV per atom
V	23.18	Å³ per atom
magnetic moment	0.0	μB/f.u.



A plane-wave DFT calculation with PBE was carried out for a geometry-optimized AcUBe structure.

POSCAR file:
```
AcUBe
1.0
4.4526 -1.2401 1.4995
0.6407 -1.8343 4.4539
1.1598 -4.6862 0.5539
Ac Be U
1 1 1
direct
0.2500 0.2500 0.2500
0.0000 0.0000 0.0000
0.7500 0.7500 0.7500
```

## Properties
offset from the most stable computed form	0	meV per atom
V	27.04	Å³ per atom
magnetic moment	2.8	μB/f.u.



A plane-wave DFT calculation with PBE was carried out for a geometry-optimized Hf31GaO64 structure.

POSCAR file:
```
Hf31GaO64
1.0
-4.7637 -7.7404 -4.6217
0.6427 -5.5236 8.6615
-8.3610 5.1186 3.8719
O Hf Ga
64 31 1
direct
0.4089 0.2912 0.4224
0.1525 0.2538 0.7606
0.4047 0.7147 0.6738
0.5984 0.0044 0.4901
0.5983 0.0026 0.9897
0.6501 0.7459 0.5102
0.8410 0.9587 0.0783
0.4085 0.7101 0.1727
0.0970 0.5042 0.4901
0.9063 0.7082 0.6753
0.9117 0.2887 0.9246
0.3419 0.9613 0.5772
0.5987 0.4974 0.2356
0.1478 0.7521 0.7617
0.3410 0.9582 0.0781
0.6516 0.2471 0.5109
0.4104 0.2096 0.1720
0.3425 0.0404 0.8282
0.8410 0.0411 0.8285
0.1519 0.7534 0.2610
0.5982 0.9963 0.2402
0.1517 0.2462 0.5110
0.5826 0.5104 0.7240
0.0994 0.9957 0.7403
0.3426 0.4605 0.0770
0.0985 0.0030 0.4912
0.1530 0.2456 0.0110
0.4092 0.7885 0.9226
0.5987 0.0007 0.7398
0.4089 0.7902 0.4230
0.4111 0.2105 0.6732
0.8409 0.5403 0.3261
0.9098 0.2899 0.4225
0.1498 0.7450 0.0106
0.6521 0.7539 0.2594
0.8323 0.5333 0.8279
0.0986 0.5022 0.9909
0.3377 0.4597 0.5775
0.9102 0.2076 0.1738
0.6034 0.4976 0.9831
0.9098 0.7091 0.1725
0.1503 0.7472 0.5113
0.9079 0.7897 0.4242
0.5996 0.5021 0.4842
0.6522 0.2537 0.2601
0.0990 0.4962 0.2409
0.4079 0.2898 0.9227
0.8411 0.0398 0.3291
0.0990 0.9958 0.2407
0.8434 0.4569 0.0798
0.9105 0.2092 0.6731
0.8410 0.4594 0.5762
0.8396 0.9602 0.5797
0.6513 0.7445 0.0095
0.6509 0.7573 0.7596
0.6535 0.2436 0.0109
0.6534 0.2660 0.7644
0.1525 0.2527 0.2611
0.9071 0.7892 0.9232
0.3412 0.0405 0.3280
0.3399 0.5409 0.8277
0.0967 0.4959 0.7408
0.3414 0.5405 0.3274
0.0990 0.0028 0.9901
0.5172 0.1499 0.8547
0.5141 0.3579 0.6055
0.0144 0.1460 0.8551
0.0142 0.8540 0.1042
0.2377 0.1046 0.6476
0.0147 0.3529 0.1053
0.0069 0.6411 0.8550
0.2363 0.6039 0.1459
0.7373 0.6018 0.1416
0.7363 0.1037 0.1462
0.5145 0.6460 0.3529
0.2365 0.3960 0.3966
0.2377 0.1040 0.1462
0.5172 0.6413 0.8530
0.2375 0.8941 0.8958
0.2364 0.3961 0.8965
0.2352 0.6054 0.6474
0.7372 0.3955 0.3942
0.5142 0.8535 0.1032
0.7331 0.6008 0.6461
0.5140 0.8552 0.6048
0.0144 0.1446 0.3553
0.2364 0.8956 0.3970
0.7362 0.1078 0.6473
0.5165 0.3547 0.1008
0.0132 0.6459 0.3544
0.0116 0.8534 0.6062
0.5138 0.1469 0.3545
0.7354 0.8957 0.3967
0.7356 0.8965 0.8960
0.0137 0.3545 0.6044
0.7492 0.3866 0.9066
```

## Properties
offset from the most stable computed form	0	meV per atom
V	11.37	Å³ per atom
magnetic moment	0.3	μB/f.u.